VASP calculation (PBE) on a relaxed Er6Te5 crystal.

The structure belongs to space group C2/m (No. 12); the cell edges are 7.3659, 12.7309 and 7.3380 Å and the angles 90.00°, 110.26° and 90.00°. Symmetry generates all atoms from Er at (0.2145, 0.1478, 0.2180), Er at (0.2199, 0.0000, 0.7424), Te at (0.0000, 0.1881, 0.5000), Te at (0.0000, 0.3395, 0.0000) and Te at (0.0000, 0.5000, 0.5000).

As for the formation energy without anion corrections: -1057.9 meV per atom. As for the crystal system: monoclinic.